No. 1
# AgIrBr2 PBE optimized geometry
data_AgIrBr2
_symmetry_space_group_name_H-M 'P 1'
_symmetry_Int_Tables_number 1
_symmetry_space_group_name_Hall 'P 1'
_cell_length_a 6.817
_cell_length_b 6.817
_cell_length_c 6.817
_cell_angle_alpha 153.69
_cell_angle_beta 141.59
_cell_angle_gamma 47.16
loop_
_atom_site_label
_atom_site_fract_x
_atom_site_fract_y
_atom_site_fract_z
Ag1 0.000 0.000 0.000
Ir1 0.191 0.691 0.500
Br1 0.370 0.370 0.000
Br2 0.669 0.169 0.500
# Symmetry = Imm2 (44)
# Raw total energy = -12.89 eV/cell
# Spin magnetization = 0.00 μB/cell
# Energy above the most stable polymorph in this dataset = 366.0 meV/atom
# Theoretical density = 8.8 g/cm3
# Formation energy without anion corrections = 542 meV/atom

No. 2
# NpBr2F PBE optimized geometry
data_NpBr2F
_symmetry_space_group_name_H-M 'P 1'
_symmetry_Int_Tables_number 1
_symmetry_space_group_name_Hall 'P 1'
_cell_length_a 4.165
_cell_length_b 4.165
_cell_length_c 7.947
_cell_angle_alpha 104.70
_cell_angle_beta 104.70
_cell_angle_gamma 60.00
loop_
_atom_site_label
_atom_site_fract_x
_atom_site_fract_y
_atom_site_fract_z
Np1 0.000 0.000 0.000
Br1 0.250 0.250 0.741
Br2 0.416 0.416 0.256
F1 0.665 0.665 0.996
# Symmetry = Cm (8)
# Raw total energy = -26.37 eV/cell
# Spin magnetization = 4.00 μB/cell
# Theoretical density = 6.0 g/cm3
# Formation energy without anion corrections = -2052 meV/atom

No. 3
# Ta3TlBr PBE optimized geometry
data_Ta3TlBr
_symmetry_space_group_name_H-M 'P 1'
_symmetry_Int_Tables_number 1
_symmetry_space_group_name_Hall 'P 1'
_cell_length_a 4.763
_cell_length_b 4.763
_cell_length_c 4.763
_cell_angle_alpha 90.00
_cell_angle_beta 90.00
_cell_angle_gamma 90.00
loop_
_atom_site_label
_atom_site_fract_x
_atom_site_fract_y
_atom_site_fract_z
Ta1 0.000 0.000 0.500
Ta2 0.000 0.500 0.000
Ta3 0.500 0.000 0.000
Tl1 0.500 0.500 0.500
Br1 0.000 0.000 0.000
# Symmetry = Pm-3m (221)
# Raw total energy = -32.17 eV/cell
# Spin magnetization = 0.00 μB/cell
# Energy above the most stable polymorph in this dataset = 0.0 meV/atom
# Theoretical density = 12.7 g/cm3
# Formation energy without anion corrections = 1485 meV/atom

No. 4
# SrTlTc PBE optimized geometry
data_SrTlTc
_symmetry_space_group_name_H-M 'P 1'
_symmetry_Int_Tables_number 1
_symmetry_space_group_name_Hall 'P 1'
_cell_length_a 3.492
_cell_length_b 3.492
_cell_length_c 7.231
_cell_angle_alpha 90.00
_cell_angle_beta 90.00
_cell_angle_gamma 120.00
loop_
_atom_site_label
_atom_site_fract_x
_atom_site_fract_y
_atom_site_fract_z
Sr1 0.000 0.000 0.000
Tl1 0.333 0.667 0.599
Tc1 0.667 0.333 0.321
# Symmetry = P3m1 (156)
# Raw total energy = -12.13 eV/cell
# Spin magnetization = 0.48 μB/cell
# Energy above the most stable polymorph in this dataset = 238.8 meV/atom
# Theoretical density = 8.5 g/cm3

No. 5
# Sb3OsO PBE optimized geometry
data_Sb3OsO
_symmetry_space_group_name_H-M 'P 1'
_symmetry_Int_Tables_number 1
_symmetry_space_group_name_Hall 'P 1'
_cell_length_a 5.111
_cell_length_b 5.111
_cell_length_c 5.111
_cell_angle_alpha 90.00
_cell_angle_beta 90.00
_cell_angle_gamma 90.00
loop_
_atom_site_label
_atom_site_fract_x
_atom_site_fract_y
_atom_site_fract_z
Sb1 0.000 0.000 0.500
Sb2 0.000 0.500 0.000
Sb3 0.500 0.000 0.000
Os1 0.000 0.000 0.000
O1 0.500 0.500 0.500
# Symmetry = Pm-3m (221)
# Raw total energy = -23.87 eV/cell
# Spin magnetization = 0.56 μB/cell
# Energy above the most stable polymorph in this dataset = 432.0 meV/atom
# Theoretical density = 7.1 g/cm3
# Formation energy without anion corrections = 937 meV/atom

No. 6
# ErAlAu3 PBE optimized geometry
data_ErAlAu3
_symmetry_space_group_name_H-M 'P 1'
_symmetry_Int_Tables_number 1
_symmetry_space_group_name_Hall 'P 1'
_cell_length_a 6.527
_cell_length_b 4.415
_cell_length_c 7.018
_cell_angle_alpha 90.00
_cell_angle_beta 104.62
_cell_angle_gamma 90.00
loop_
_atom_site_label
_atom_site_fract_x
_atom_site_fract_y
_atom_site_fract_z
Er1 0.197 0.250 0.190
Er2 0.803 0.750 0.810
Al1 0.218 0.750 0.566
Al2 0.782 0.250 0.434
Au1 0.091 0.250 0.742
Au2 0.345 0.750 0.955
Au3 0.481 0.250 0.626
Au4 0.519 0.750 0.374
Au5 0.655 0.250 0.045
Au6 0.909 0.750 0.258
# Symmetry = P2_1/m (11)
# Raw total energy = -42.96 eV/cell
# Spin magnetization = 0.00 μB/cell
# Energy above the most stable polymorph in this dataset = 0.0 meV/atom
# Theoretical density = 13.3 g/cm3

No. 7
# NdRhO PBE optimized geometry
data_NdRhO
_symmetry_space_group_name_H-M 'P 1'
_symmetry_Int_Tables_number 1
_symmetry_space_group_name_Hall 'P 1'
_cell_length_a 4.915
_cell_length_b 4.915
_cell_length_c 4.179
_cell_angle_alpha 90.00
_cell_angle_beta 90.00
_cell_angle_gamma 90.00
loop_
_atom_site_label
_atom_site_fract_x
_atom_site_fract_y
_atom_site_fract_z
Nd1 0.250 0.250 0.006
Nd2 0.750 0.750 0.994
Rh1 0.250 0.750 0.500
Rh2 0.750 0.250 0.500
O1 0.250 0.750 0.000
O2 0.750 0.250 0.000
# Symmetry = P4/nmm (129)
# Raw total energy = -43.73 eV/cell
# Spin magnetization = 0.00 μB/cell
# Theoretical density = 8.7 g/cm3
# Formation energy without anion corrections = -1596 meV/atom

No. 8
# Ce2ZrSi2Ru5 PBE optimized geometry
data_Ce2ZrSi2Ru5
_symmetry_space_group_name_H-M 'P 1'
_symmetry_Int_Tables_number 1
_symmetry_space_group_name_Hall 'P 1'
_cell_length_a 10.191
_cell_length_b 10.191
_cell_length_c 3.327
_cell_angle_alpha 90.00
_cell_angle_beta 90.00
_cell_angle_gamma 90.00
loop_
_atom_site_label
_atom_site_fract_x
_atom_site_fract_y
_atom_site_fract_z
Ce1 0.174 0.326 0.000
Ce2 0.326 0.826 0.000
Ce3 0.674 0.174 0.000
Ce4 0.826 0.674 0.000
Zr1 0.000 0.000 0.000
Zr2 0.500 0.500 0.000
Si1 0.123 0.623 0.000
Si2 0.377 0.123 0.000
Si3 0.623 0.877 0.000
Si4 0.877 0.377 0.000
Ru1 0.000 0.500 0.500
Ru2 0.069 0.785 0.500
Ru3 0.215 0.069 0.500
Ru4 0.285 0.569 0.500
Ru5 0.431 0.285 0.500
Ru6 0.500 0.000 0.500
Ru7 0.569 0.715 0.500
Ru8 0.715 0.431 0.500
Ru9 0.785 0.931 0.500
Ru10 0.931 0.215 0.500
# Symmetry = P4/mbm (127)
# Raw total energy = -168.31 eV/cell
# Spin magnetization = 1.05 μB/cell
# Theoretical density = 9.0 g/cm3
# Formation energy without anion corrections = -651 meV/atom

No. 9
# Tm2MnS4 PBE optimized geometry
data_Tm2MnS4
_symmetry_space_group_name_H-M 'P 1'
_symmetry_Int_Tables_number 1
_symmetry_space_group_name_Hall 'P 1'
_cell_length_a 7.555
_cell_length_b 7.555
_cell_length_c 7.555
_cell_angle_alpha 106.33
_cell_angle_beta 106.33
_cell_angle_gamma 115.95
loop_
_atom_site_label
_atom_site_fract_x
_atom_site_fract_y
_atom_site_fract_z
Tm1 0.110 0.125 0.485
Tm2 0.375 0.890 0.015
Tm3 0.640 0.625 0.515
Tm4 0.875 0.360 0.985
Mn1 0.250 0.750 0.500
Mn2 0.500 0.500 0.000
S1 0.086 0.877 0.694
S2 0.123 0.817 0.209
S3 0.142 0.433 0.806
S4 0.183 0.392 0.306
S5 0.567 0.373 0.709
S6 0.608 0.914 0.791
S7 0.627 0.336 0.194
S8 0.664 0.858 0.291
# Symmetry = I-42d (122)
# Raw total energy = -91.92 eV/cell
# Spin magnetization = 10.00 μB/cell
# Energy above the most stable polymorph in this dataset = 30.3 meV/atom
# Theoretical density = 5.3 g/cm3
# Formation energy without anion corrections = -1620 meV/atom

No. 10
# HfGaSn2Hg PBE optimized geometry
data_HfGaSn2Hg
_symmetry_space_group_name_H-M 'P 1'
_symmetry_Int_Tables_number 1
_symmetry_space_group_name_Hall 'P 1'
_cell_length_a 5.401
_cell_length_b 5.401
_cell_length_c 5.476
_cell_angle_alpha 90.00
_cell_angle_beta 90.00
_cell_angle_gamma 90.00
loop_
_atom_site_label
_atom_site_fract_x
_atom_site_fract_y
_atom_site_fract_z
Hf1 0.000 0.000 0.000
Ga1 0.500 0.500 0.000
Sn1 0.000 0.500 0.500
Sn2 0.500 0.000 0.500
Hg1 0.000 0.000 0.500
# Symmetry = P4/mmm (123)
# Raw total energy = -16.60 eV/cell
# Spin magnetization = 0.00 μB/cell
# Theoretical density = 7.1 g/cm3

No. 11
# TmSc3P3 PBE optimized geometry
data_TmSc3P3
_symmetry_space_group_name_H-M 'P 1'
_symmetry_Int_Tables_number 1
_symmetry_space_group_name_Hall 'P 1'
_cell_length_a 8.047
_cell_length_b 8.047
_cell_length_c 8.047
_cell_angle_alpha 90.00
_cell_angle_beta 90.00
_cell_angle_gamma 90.00
loop_
_atom_site_label
_atom_site_fract_x
_atom_site_fract_y
_atom_site_fract_z
Tm1 0.067 0.433 0.567
Tm2 0.433 0.567 0.067
Tm3 0.567 0.067 0.433
Tm4 0.933 0.933 0.933
Sc1 0.068 0.568 0.932
Sc2 0.181 0.819 0.319
Sc3 0.185 0.185 0.185
Sc4 0.315 0.815 0.685
Sc5 0.319 0.181 0.819
Sc6 0.432 0.432 0.432
Sc7 0.568 0.932 0.068
Sc8 0.681 0.681 0.681
Sc9 0.685 0.315 0.815
Sc10 0.815 0.685 0.315
Sc11 0.819 0.319 0.181
Sc12 0.932 0.068 0.568
P1 0.002 0.255 0.877
P2 0.123 0.502 0.245
P3 0.245 0.123 0.502
P4 0.255 0.877 0.002
P5 0.377 0.498 0.745
P6 0.498 0.745 0.377
P7 0.502 0.245 0.123
P8 0.623 0.998 0.755
P9 0.745 0.377 0.498
P10 0.755 0.623 0.998
P11 0.877 0.002 0.255
P12 0.998 0.755 0.623
# Symmetry = P2_13 (198)
# Raw total energy = -195.37 eV/cell
# Spin magnetization = 0.00 μB/cell
# Theoretical density = 5.1 g/cm3